Density functional theory data (PBE) for crystalline Mg4CuRh2 at its relaxed geometry.

Geometry as POSCAR:
```
Mg4CuRh2
1.0
4.234 0.000 1.323
1.911 3.779 1.323
-0.023 -0.014 7.510
Mg Rh Cu
4 2 1
direct
0.384 0.384 0.847
0.130 0.130 0.610
0.870 0.870 0.390
0.616 0.616 0.153
0.259 0.259 0.223
0.741 0.741 0.777
0.000 0.000 0.000
```

- DOS at the Fermi energy: 2.39 states/eV/f.u.
- Energy of formation from the pure elements: -313 meV/atom